No. 1
VASP calculation (PBE) on crystalline Y5BeSe4 at its relaxed geometry.

Geometry as extended XYZ:
```
10
Lattice="-5.154 2.137 1.426 -4.913 -4.925 1.251 -0.893 0.971 6.944" Properties=species:S:1:pos:R:3 pbc="T T T"
Se -6.211 -1.486 3.057
Be -0.006 0.003 0.002
Y -3.712 -2.662 2.226
Se -8.570 -1.588 6.313
Y -4.961 0.969 3.899
Y -7.260 0.849 7.398
Se -4.760 -0.327 6.566
Y -6.010 -2.781 5.725
Y -2.584 1.071 0.715
Se -2.401 -0.225 3.310
```

Computed properties:
SG	I4/m
formation energy from raw total energies	-1.453	eV per atom


No. 2
VASP calculation (PBE) on crystalline Ta2PtAu at its relaxed geometry.

Geometry as extended XYZ:
```
4
Lattice="2.902 0.030 0.000 -0.026 2.902 0.000 0.000 0.000 8.288" Properties=species:S:1:pos:R:3 pbc="T T T"
Ta 0.000 0.000 8.176
Au 0.000 0.000 4.156
Pt 1.438 1.466 6.298
Ta 1.438 1.466 2.091
```

Computed properties:
SG	P4mm
DFT formation energy	-27	kJ per mole of atoms


no.,theoretical density (g/cm3),Fermi-level density of states (states/eV/cell),electronic total energy (eV/atom)
1,5.3,3.0,-6.45
2,17.9,3.2,-8.54